[1]
An optimized crystal structure of ErCdCl5, computed with PBE.

Cell: 7.6626 7.6626 9.6045 Å, 99.69 99.69 122.39°
With the nearest neighbours (Å) after each atom.
Fractional positions:
Er  0.0000  0.0000  0.0000  6 Cl 2.63-2.65
Er  0.0000  0.0000  0.5000  6 Cl 2.63-2.65
Cd  0.4586  0.5414  0.7500  4 Cl 2.52-2.58
Cd  0.5414  0.4586  0.2500  4 Cl 2.52-2.58
Cl  0.0535  0.3536  0.6526  1 Cd 2.52, 1 Er 2.63
Cl  0.0829  0.9171  0.7500  2 Er 2.65
Cl  0.2495  0.4235  0.0454  1 Cd 2.58, 1 Er 2.64
Cl  0.3536  0.0535  0.1526  1 Cd 2.52, 1 Er 2.63
Cl  0.4235  0.2495  0.5454  1 Cd 2.58, 1 Er 2.64
Cl  0.5765  0.7505  0.4546  1 Cd 2.58, 1 Er 2.64
Cl  0.6464  0.9465  0.8474  1 Cd 2.52, 1 Er 2.63
Cl  0.7505  0.5765  0.9546  1 Cd 2.58, 1 Er 2.64
Cl  0.9171  0.0829  0.2500  2 Er 2.65
Cl  0.9465  0.6464  0.3474  1 Cd 2.52, 1 Er 2.63

## Properties
- SG = C2/c, No. 15
- V (Å³/cell) = 446
- excess energy over the best structure of this formula in the dataset (meV/atom) = 0
- electronic total energy (eV/atom) = -3.8203
- E_form (uncorrected) (meV per atom) = -1719
- D(E_F) (states/eV/f.u.) = 0.0
- theoretical density (g cm⁻³) = 3.4



[2]
An optimized crystal structure of ErCdCl6, computed with PBE.

Cell: 6.5573 6.5588 7.0326 Å, 62.37 62.41 60.01°
With the nearest neighbours (Å) after each atom.
Fractional positions:
Er  0.0000  0.0000  0.0000  6 Cl 2.63
Cd  0.5000  0.5000  0.5000  6 Cl 2.66
Cl  0.0805  0.7545  0.7493  1 Er 2.63, 1 Cd 2.66
Cl  0.2477  0.5844  0.2481  1 Er 2.63, 1 Cd 2.66
Cl  0.4142  0.0814  0.7510  1 Er 2.63, 1 Cd 2.66
Cl  0.5858  0.9186  0.2490  1 Er 2.63, 1 Cd 2.66
Cl  0.7523  0.4156  0.7519  1 Er 2.63, 1 Cd 2.66
Cl  0.9195  0.2455  0.2507  1 Er 2.63, 1 Cd 2.66

## Properties
- SG = P-1, No. 2
- V (Å³/cell) = 221
- electronic total energy (eV/atom) = -3.4435
- E_form (uncorrected) (meV per atom) = -1374
- D(E_F) (states/eV/f.u.) = 13.4
- theoretical density (g cm⁻³) = 3.7



[3]
An optimized crystal structure of Er2CdCl, computed with PBE.

Cell: 10.9243 10.9243 10.9243 Å, 17.90 17.90 17.90°
With the nearest neighbours (Å) after each atom.
Fractional positions:
Er  0.0978  0.0978  0.0978  3 Cl 2.96, 1 Cd 3.15
Er  0.9022  0.9022  0.9022  3 Cl 2.96, 1 Cd 3.15
Cd  0.0000  0.0000  0.0000  2 Er 3.15, 6 Cd 3.40
Cl  0.5000  0.5000  0.5000  6 Er 2.96

## Properties
- SG = R-3m, No. 166
- V (Å³/cell) = 107
- electronic total energy (eV/atom) = -3.3631
- E_form (uncorrected) (meV per atom) = -391
- D(E_F) (states/eV/f.u.) = 4.0
- theoretical density (g cm⁻³) = 7.5



[4]
An optimized crystal structure of ErCdCl5, computed with PBE.

Cell: 7.0217 7.0217 9.2371 Å, 108.06 108.06 74.56°
With the nearest neighbours (Å) after each atom.
Fractional positions:
Er  0.0483  0.9517  0.7500  5 Cl 2.56-2.74
Er  0.9517  0.0483  0.2500  5 Cl 2.56-2.74
Cd  0.5000  0.5000  0.0000  6 Cl 2.56-2.77
Cd  0.5000  0.5000  0.5000  6 Cl 2.56-2.77
Cl  0.1619  0.8037  0.0413  2 Er 2.68-2.99, 1 Cd 2.77
Cl  0.1963  0.8381  0.4587  2 Er 2.68-2.99, 1 Cd 2.77
Cl  0.2002  0.2967  0.3591  1 Er 2.56, 1 Cd 2.63
Cl  0.2967  0.2002  0.8591  1 Er 2.56, 1 Cd 2.63
Cl  0.3701  0.6299  0.7500  2 Cd 2.56, 1 Er 2.74
Cl  0.6299  0.3701  0.2500  2 Cd 2.56, 1 Er 2.74
Cl  0.7033  0.7998  0.1409  1 Er 2.56, 1 Cd 2.63
Cl  0.7998  0.7033  0.6409  1 Er 2.56, 1 Cd 2.63
Cl  0.8037  0.1619  0.5413  2 Er 2.68-2.99, 1 Cd 2.77
Cl  0.8381  0.1963  0.9587  2 Er 2.68-2.99, 1 Cd 2.77

## Properties
- SG = C2/c, No. 15
- V (Å³/cell) = 404
- excess energy over the best structure of this formula in the dataset (meV/atom) = 45
- electronic total energy (eV/atom) = -3.7756
- E_form (uncorrected) (meV per atom) = -1674
- D(E_F) (states/eV/f.u.) = 0.0
- theoretical density (g cm⁻³) = 3.8



[5]
An optimized crystal structure of NaErCd2Cl8, computed with PBE.

Cell: 6.1746 8.0808 6.4315 Å, 90.00 90.06 90.00°
With the nearest neighbours (Å) after each atom.
Fractional positions:
Na  0.0000  0.0000  0.0000  6 Cl 2.77-2.80
Er  0.0000  0.5000  0.0000  6 Cl 2.61-2.70
Cd  0.5000  0.2420  0.5000  6 Cl 2.61-2.75
Cd  0.5000  0.7580  0.5000  6 Cl 2.61-2.75
Cl  0.2284  0.2658  0.1725  1 Er 2.61, 1 Cd 2.70, 1 Na 2.80
Cl  0.2284  0.7342  0.1725  1 Er 2.61, 1 Cd 2.70, 1 Na 2.80
Cl  0.2728  0.5000  0.6728  1 Er 2.70, 2 Cd 2.75
Cl  0.2775  0.0000  0.6616  2 Cd 2.61, 1 Na 2.77
Cl  0.7225  0.0000  0.3384  2 Cd 2.61, 1 Na 2.77
Cl  0.7272  0.5000  0.3272  1 Er 2.70, 2 Cd 2.75
Cl  0.7716  0.2658  0.8275  1 Er 2.61, 1 Cd 2.70, 1 Na 2.80
Cl  0.7716  0.7342  0.8275  1 Er 2.61, 1 Cd 2.70, 1 Na 2.80

## Properties
- SG = P2/m, No. 10
- V (Å³/cell) = 321
- electronic total energy (eV/atom) = -3.4531
- E_form (uncorrected) (meV per atom) = -1579
- D(E_F) (states/eV/f.u.) = 0.0
- theoretical density (g cm⁻³) = 3.6



[6]
An optimized crystal structure of ErTlCd2Cl8, computed with PBE.

Cell: 6.5240 6.5384 9.0419 Å, 80.66 80.28 80.65°
With the nearest neighbours (Å) after each atom.
Fractional positions:
Er  0.0000  0.0000  0.0000  6 Cl 2.62-2.64
Tl  0.0000  0.0000  0.5000  6 Cl 3.20-3.26
Cd  0.4445  0.4494  0.7223  5 Cl 2.54-2.69
Cd  0.5555  0.5506  0.2777  5 Cl 2.54-2.69
Cl  0.1947  0.7651  0.2139  1 Er 2.63, 1 Cd 2.64
Cl  0.2492  0.8188  0.7825  1 Cd 2.64, 1 Er 2.64
Cl  0.2586  0.2765  0.9739  1 Cd 2.57, 1 Er 2.62
Cl  0.3183  0.3346  0.5016  2 Cd 2.54-2.69
Cl  0.6817  0.6654  0.4984  2 Cd 2.54-2.69
Cl  0.7414  0.7235  0.0261  1 Cd 2.57, 1 Er 2.62
Cl  0.7508  0.1812  0.2175  1 Cd 2.64, 1 Er 2.64
Cl  0.8053  0.2349  0.7861  1 Er 2.63, 1 Cd 2.64

## Properties
- SG = P-1, No. 2
- V (Å³/cell) = 371
- electronic total energy (eV/atom) = -3.3996
- E_form (uncorrected) (meV per atom) = -1439
- D(E_F) (states/eV/f.u.) = 0.0
- theoretical density (g cm⁻³) = 3.9



[7]
An optimized crystal structure of Eu2CdCl, computed with PBE.

Cell: 3.6985 3.6985 8.5008 Å, 90.00 90.00 90.00°
With the nearest neighbours (Å) after each atom.
Fractional positions:
Eu  0.0000  0.0000  0.2480  4 Cd 3.36, 4 Cl 3.38, 4 Eu 3.70
Eu  0.0000  0.0000  0.7520  4 Cd 3.36, 4 Cl 3.38, 4 Eu 3.70
Cd  0.5000  0.5000  0.0000  8 Eu 3.36, 4 Cd 3.70
Cl  0.5000  0.5000  0.5000  8 Eu 3.38, 4 Cl 3.70

## Properties
- SG = P4/mmm, No. 123
- V (Å³/cell) = 116
- excess energy over the best structure of this formula in the dataset (meV/atom) = 44
- electronic total energy (eV/atom) = -6.7042
- E_form (uncorrected) (meV per atom) = -877
- D(E_F) (states/eV/f.u.) = 2.7
- theoretical density (g cm⁻³) = 6.5



[8]
An optimized crystal structure of Eu3Cd5Cl12, computed with PBE.

Cell: 14.8467 14.8467 14.8467 Å, 109.47 109.47 109.47°
With the nearest neighbours (Å) after each atom.
Fractional positions:
Eu  0.1250  0.2500  0.3750  8 Cl 3.17-3.21
Eu  0.1250  0.3750  0.7500  8 Cl 3.17-3.21
Eu  0.2500  0.3750  0.1250  8 Cl 3.17-3.21
Eu  0.2500  0.8750  0.6250  8 Cl 3.17-3.21
Eu  0.3750  0.1250  0.2500  8 Cl 3.17-3.21
Eu  0.3750  0.7500  0.1250  8 Cl 3.17-3.21
Eu  0.6250  0.2500  0.8750  8 Cl 3.17-3.21
Eu  0.6250  0.8750  0.7500  8 Cl 3.17-3.21
Eu  0.7500  0.1250  0.3750  8 Cl 3.17-3.21
Eu  0.7500  0.6250  0.8750  8 Cl 3.17-3.21
Eu  0.8750  0.6250  0.2500  8 Cl 3.17-3.21
Eu  0.8750  0.7500  0.6250  8 Cl 3.17-3.21
Cd  0.0000  0.0000  0.0000  6 Cl 3.15
Cd  0.0000  0.0000  0.5000  6 Cl 3.15
Cd  0.0000  0.5000  0.0000  6 Cl 3.15
Cd  0.0000  0.5000  0.5000  6 Cl 3.15
Cd  0.1250  0.7500  0.8750  4 Cl 2.53
Cd  0.1250  0.8750  0.2500  4 Cl 2.53
Cd  0.2500  0.1250  0.8750  4 Cl 2.53
Cd  0.2500  0.6250  0.3750  4 Cl 2.53
Cd  0.3750  0.2500  0.6250  4 Cl 2.53
Cd  0.3750  0.6250  0.7500  4 Cl 2.53
Cd  0.5000  0.0000  0.0000  6 Cl 3.15
Cd  0.5000  0.0000  0.5000  6 Cl 3.15
Cd  0.5000  0.5000  0.0000  6 Cl 3.15
Cd  0.5000  0.5000  0.5000  6 Cl 3.15
Cd  0.6250  0.3750  0.2500  4 Cl 2.53
Cd  0.6250  0.7500  0.3750  4 Cl 2.53
Cd  0.7500  0.3750  0.6250  4 Cl 2.53
Cd  0.7500  0.8750  0.1250  4 Cl 2.53
Cd  0.8750  0.1250  0.7500  4 Cl 2.53
Cd  0.8750  0.2500  0.1250  4 Cl 2.53
Cl  0.0452  0.2387  0.1405  1 Cd 2.53
Cl  0.0452  0.3066  0.9047  1 Cd 2.53
Cl  0.0953  0.6405  0.4018  1 Cd 2.53
Cl  0.0953  0.9548  0.6934  1 Cd 2.53
Cl  0.0982  0.7387  0.6934  1 Cd 2.53
Cl  0.0982  0.8595  0.4047  1 Cd 2.53
Cl  0.1405  0.0452  0.2387  1 Cd 2.53
Cl  0.1405  0.5953  0.9018  1 Cd 2.53
Cl  0.1934  0.2387  0.5982  1 Cd 2.53
Cl  0.1934  0.4548  0.5953  1 Cd 2.53
Cl  0.2387  0.1405  0.0452  1 Cd 2.53
Cl  0.2387  0.5982  0.1934  1 Cd 2.53
Cl  0.2613  0.3066  0.9018  1 Cd 2.53
Cl  0.2613  0.4548  0.3595  1 Cd 2.53
Cl  0.3066  0.9018  0.2613  1 Cd 2.53
Cl  0.3066  0.9047  0.0452  1 Cd 2.53
Cl  0.3595  0.2613  0.4548  1 Cd 2.53
Cl  0.3595  0.5982  0.9047  1 Cd 2.53
Cl  0.4018  0.0953  0.6405  1 Cd 2.53
Cl  0.4018  0.8066  0.7613  1 Cd 2.53
Cl  0.4047  0.0982  0.8595  1 Cd 2.53
Cl  0.4047  0.8066  0.5452  1 Cd 2.53
Cl  0.4548  0.3595  0.2613  1 Cd 2.53
Cl  0.4548  0.5953  0.1934  1 Cd 2.53
Cl  0.5452  0.4047  0.8066  1 Cd 2.53
Cl  0.5452  0.6405  0.7387  1 Cd 2.53
Cl  0.5953  0.1934  0.4548  1 Cd 2.53
Cl  0.5953  0.9018  0.1405  1 Cd 2.53
Cl  0.5982  0.1934  0.2387  1 Cd 2.53
Cl  0.5982  0.9047  0.3595  1 Cd 2.53
Cl  0.6405  0.4018  0.0953  1 Cd 2.53
Cl  0.6405  0.7387  0.5452  1 Cd 2.53
Cl  0.6934  0.0953  0.9548  1 Cd 2.53
Cl  0.6934  0.0982  0.7387  1 Cd 2.53
Cl  0.7387  0.5452  0.6405  1 Cd 2.53
Cl  0.7387  0.6934  0.0982  1 Cd 2.53
Cl  0.7613  0.4018  0.8066  1 Cd 2.53
Cl  0.7613  0.8595  0.9548  1 Cd 2.53
Cl  0.8066  0.5452  0.4047  1 Cd 2.53
Cl  0.8066  0.7613  0.4018  1 Cd 2.53
Cl  0.8595  0.4047  0.0982  1 Cd 2.53
Cl  0.8595  0.9548  0.7613  1 Cd 2.53
Cl  0.9018  0.1405  0.5953  1 Cd 2.53
Cl  0.9018  0.2613  0.3066  1 Cd 2.53
Cl  0.9047  0.0452  0.3066  1 Cd 2.53
Cl  0.9047  0.3595  0.5982  1 Cd 2.53
Cl  0.9548  0.6934  0.0953  1 Cd 2.53
Cl  0.9548  0.7613  0.8595  1 Cd 2.53

## Properties
- SG = Ia-3d, No. 230
- V (Å³/cell) = 2519
- electronic total energy (eV/atom) = -4.1930
- E_form (uncorrected) (meV per atom) = -1315
- theoretical density (g cm⁻³) = 3.8



[9]
An optimized crystal structure of Eu2CdCl, computed with PBE.

Cell: 8.6636 8.6636 8.6636 Å, 27.84 27.84 27.84°
With the nearest neighbours (Å) after each atom.
Fractional positions:
Eu  0.2445  0.2445  0.2445  3 Cl 3.09, 3 Cd 3.27
Eu  0.7555  0.7555  0.7555  3 Cl 3.09, 3 Cd 3.27
Cd  0.0000  0.0000  0.0000  6 Eu 3.27
Cl  0.5000  0.5000  0.5000  6 Eu 3.09

## Properties
- SG = R-3m, No. 166
- V (Å³/cell) = 125
- excess energy over the best structure of this formula in the dataset (meV/atom) = 0
- electronic total energy (eV/atom) = -6.7478
- E_form (uncorrected) (meV per atom) = -920
- D(E_F) (states/eV/f.u.) = 2.0
- theoretical density (g cm⁻³) = 6.0



[10]
An optimized crystal structure of CdClF3, computed with PBE.

Cell: 4.3985 4.3985 4.3985 Å, 90.00 90.00 90.00°
With the nearest neighbours (Å) after each atom.
Fractional positions:
Cd  0.0000  0.0000  0.0000  12 F 3.11
Cl  0.5000  0.5000  0.5000  6 F 2.20
F  0.0000  0.5000  0.5000  2 Cl 2.20
F  0.5000  0.0000  0.5000  2 Cl 2.20
F  0.5000  0.5000  0.0000  2 Cl 2.20

## Properties
- SG = Pm-3m, No. 221
- V (Å³/cell) = 85
- excess energy over the best structure of this formula in the dataset (meV/atom) = 589
- electronic total energy (eV/atom) = -2.1064
- E_form (uncorrected) (meV per atom) = -431
- D(E_F) (states/eV/f.u.) = 3.4
- theoretical density (g cm⁻³) = 4.0



[11]
An optimized crystal structure of CdClF, computed with PBE.

Cell: 3.7300 3.7300 5.3612 Å, 90.00 90.00 120.00°
With the nearest neighbours (Å) after each atom.
Fractional positions:
Cd  0.0000  0.0000  0.0000  3 F 2.33
Cl  0.6667  0.3333  0.7156  3 Cd 2.64
F  0.3333  0.6667  0.1680  3 Cd 2.33

## Properties
- SG = P3m1, No. 156
- V (Å³/cell) = 65
- excess energy over the best structure of this formula in the dataset (meV/atom) = 67
- electronic total energy (eV/atom) = -3.1233
- E_form (uncorrected) (meV per atom) = -1579
- D(E_F) (states/eV/f.u.) = 0.0
- theoretical density (g cm⁻³) = 4.3



[12]
An optimized crystal structure of CdClF, computed with PBE.

Cell: 4.2859 4.2859 4.2859 Å, 60.00 60.00 60.00°
With the nearest neighbours (Å) after each atom.
Fractional positions:
Cd  0.0000  0.0000  0.0000  4 F 2.62, 4 Cl 2.62
Cl  0.2500  0.2500  0.2500  4 Cd 2.62
F  0.7500  0.7500  0.7500  4 Cd 2.62

## Properties
- SG = F-43m, No. 216
- V (Å³/cell) = 56
- excess energy over the best structure of this formula in the dataset (meV/atom) = 174
- electronic total energy (eV/atom) = -3.0161
- E_form (uncorrected) (meV per atom) = -1472
- D(E_F) (states/eV/f.u.) = 0.0
- theoretical density (g cm⁻³) = 5.0